(1)
# Tb2FeNiO6

Tb2FeNiO6 after structural relaxation (PBE with a Hubbard U, Alexandria).

Results
VASP energy   -7.03 eV per atom
Space-group type   No. 14

Cell lengths 5.269, 5.631, 7.515 Å; angles 90.00, 89.89, 90.00 degrees
Site moments in Bohr magnetons follow the coordinates.
Fractional coordinates of all 20 atoms:
O 0.687 0.295 0.555  -0.06
O 0.187 0.205 0.055  -0.06
O 0.813 0.795 0.945  -0.06
O 0.200 0.190 0.450  -0.05
O 0.300 0.690 0.050  -0.05
O 0.800 0.810 0.550  -0.05
O 0.104 0.468 0.759  -0.03
O 0.700 0.310 0.950  -0.05
O 0.396 0.968 0.741  -0.03
O 0.313 0.705 0.445  -0.06
O 0.896 0.532 0.241  -0.03
O 0.604 0.032 0.259  -0.03
Fe 0.000 0.500 0.000  2.60
Fe 0.500 0.000 0.500  2.60
Tb 0.478 0.427 0.249  0.01
Tb 0.978 0.073 0.749  0.01
Tb 0.522 0.573 0.751  0.01
Tb 0.022 0.927 0.251  0.01
Ni 0.000 0.500 0.500  1.67
Ni 0.500 0.000 0.000  1.67

=====

(2)
# FeTcNi2O6

FeTcNi2O6 after structural relaxation (PBE with a Hubbard U, Alexandria).

Results
VASP energy   -6.00 eV per atom
Space-group type   No. 99

Cell lengths 4.794, 5.321, 5.321 Å; angles 90.00, 90.00, 90.00 degrees
Site moments in Bohr magnetons follow the coordinates.
Fractional coordinates of all 10 atoms:
Ni 0.900 0.500 0.000  1.78
Ni 0.900 0.000 0.500  1.78
O 0.753 0.757 0.243  0.13
O 0.753 0.243 0.757  0.13
O 0.753 0.757 0.757  0.13
O 0.753 0.243 0.243  0.13
O 0.220 0.500 0.500  0.39
O 0.237 0.000 0.000  0.01
Fe 0.590 0.500 0.500  4.18
Tc 0.587 0.000 0.000  0.07

=====

(3)
# TiFe2Ni2O6

TiFe2Ni2O6 after structural relaxation (PBE with a Hubbard U, Alexandria).

Results
VASP energy   -6.58 eV per atom
Space-group type   No. 12

Cell lengths 5.166, 5.166, 5.309 Å; angles 99.40, 99.40, 118.77 degrees
Site moments in Bohr magnetons follow the coordinates.
Fractional coordinates of all 11 atoms:
O 0.766 0.766 0.719  0.10
O 0.387 0.054 0.728  0.13
O 0.234 0.234 0.281  0.10
O 0.613 0.946 0.272  0.13
O 0.054 0.387 0.728  0.13
O 0.946 0.613 0.272  0.13
Ni 0.338 0.662 0.500  1.76
Ni 0.662 0.338 0.500  1.76
Fe 0.828 0.172 0.000  3.78
Fe 0.172 0.828 0.000  3.78
Ti 0.000 0.000 0.500  0.04